(1)
First-principles (PBE-GGA) data for a geometry-optimized SrCaOs2 structure, as listed in Alexandria via LeMat-Bulk.

Cell and atoms, written as extended XYZ:
```
4
Lattice="2.989 0.000 0.000 0.000 4.704 0.000 0.000 0.000 6.533" Properties=species:S:1:pos:R:3 pbc="T T T"
Sr 1.494 2.352 1.633
Os 0.000 0.000 6.069
Os 0.000 0.000 3.731
Ca 1.494 2.352 4.900
```

Values from the calculation:
- excess energy over the best structure of this formula in the dataset (meV/atom) = 333
- size of the total moment (μB/cell) = 0.0
- DFT formation energy (meV per atom) = 731

***

(2)
First-principles (PBE-GGA) data for a geometry-optimized EuZnHgAu structure, as listed in Alexandria via LeMat-Bulk.

Cell and atoms, written as extended XYZ:
```
4
Lattice="5.066 0.000 0.000 2.533 4.387 0.000 2.533 1.462 4.136" Properties=species:S:1:pos:R:3 pbc="T T T"
Zn 0.000 0.000 0.000
Au 2.533 1.462 1.034
Eu 5.066 2.925 2.068
Hg 7.598 4.387 3.102
```

Values from the calculation:
- size of the total moment (μB/cell) = 7.1
- DFT formation energy (meV per atom) = -380